{"formula": "Tb2In3Ag4", "functional": "GGA-PBE", "state": "relaxed", "lattice_angstrom": [[6.025, 0.000, 0.000], [0.000, 8.017, 0.000], [-3.012, 0.000, 8.518]], "species": ["Tb", "Tb", "Tb", "Tb", "In", "In", "In", "In", "In", "In", "Ag", "Ag", "Ag", "Ag", "Ag", "Ag", "Ag", "Ag"], "frac_coords": [[0.097, 0.606, 0.195], [0.903, 0.394, 0.805], [0.403, 0.106, 0.805], [0.597, 0.894, 0.195], [0.000, 0.000, 0.000], [0.500, 0.500, 0.000], [0.509, 0.750, 0.519], [0.991, 0.250, 0.481], [0.491, 0.250, 0.481], [0.009, 0.750, 0.519], [0.679, 0.750, 0.859], [0.821, 0.250, 0.141], [0.321, 0.250, 0.141], [0.179, 0.750, 0.859], [0.166, 0.984, 0.331], [0.834, 0.016, 0.669], [0.334, 0.484, 0.669], [0.666, 0.516, 0.331]], "magnetic_moment_mub_per_atom": 0.0000, "total_energy_ev_per_atom": -3.440, "formation_energy_ev_per_atom": -0.23, "spacegroup": "No. 64"}